The following is a PBE calculation of crystalline NbVGa3 at its relaxed geometry, from the Alexandria database.

E_form = 0.069 eV/atom
energy above the lowest structure with this stoichiometry = 0 meV/atom
E = -0.410 Ry/atom
space-group type = Pnma (62)
M_tot = 6.800 μB per cell

abc: 6.795 6.681 7.690
angles: 90.00 90.00 90.00
Site moments in Bohr magnetons follow the coordinates.
Atoms (fractional coordinates):
Nb1 0.204 0.089 0.250  -0.18
Nb2 0.296 0.589 0.750  -0.18
Nb3 0.704 0.411 0.250  -0.18
Nb4 0.796 0.911 0.750  -0.18
Ga1 0.144 0.875 0.950  0.00
Ga2 0.856 0.125 0.450  0.00
Ga3 0.644 0.625 0.950  0.00
Ga4 0.069 0.232 0.750  0.02
Ga5 0.856 0.125 0.050  0.00
Ga6 0.931 0.768 0.250  0.02
Ga7 0.356 0.375 0.450  0.00
Ga8 0.356 0.375 0.050  0.00
Ga9 0.431 0.732 0.250  0.02
Ga10 0.144 0.875 0.550  0.00
Ga11 0.569 0.268 0.750  0.02
Ga12 0.644 0.625 0.550  0.00
V1 0.000 0.500 0.000  1.59
V2 0.500 0.000 0.500  1.59
V3 0.500 0.000 0.000  1.59
V4 0.000 0.500 0.500  1.59

The following is a PBE calculation of crystalline CaTlSiSb2 at its relaxed geometry, from the Alexandria database.

E = -0.201 Ry/atom
formation energy (no corrections) = 20.1 kcal/mol of atoms
space-group type = P4/mmm (123)
M_tot = 0.000 μB per cell

abc: 5.707 5.766 5.707
angles: 90.00 90.00 90.00
Atoms (fractional coordinates):
Ca1 0.000 0.000 0.000
Si1 0.500 0.500 0.500
Sb1 0.000 0.000 0.500
Sb2 0.500 0.000 0.000
Tl1 0.000 0.500 0.000

The following is a PBE calculation of crystalline La12InRu6 at its relaxed geometry, from the Alexandria database.

E_form = -0.263 eV/atom
E = -0.474 Ry/atom
space-group type = Im-3 (204)
M_tot = 0.000 μB per cell

abc: 8.949 8.949 8.949
angles: 109.47 109.47 109.47
Atoms (fractional coordinates):
La1 0.310 0.504 0.193
La2 0.690 0.883 0.193
La3 0.496 0.807 0.690
La4 0.690 0.496 0.807
La5 0.193 0.690 0.883
La6 0.883 0.193 0.690
La7 0.807 0.310 0.117
La8 0.193 0.310 0.504
La9 0.117 0.807 0.310
La10 0.310 0.117 0.807
La11 0.504 0.193 0.310
La12 0.807 0.690 0.496
In1 0.000 0.000 0.000
Ru1 0.500 0.134 0.634
Ru2 0.634 0.500 0.134
Ru3 0.134 0.634 0.500
Ru4 0.366 0.500 0.866
Ru5 0.866 0.366 0.500
Ru6 0.500 0.866 0.366

The following is a PBE calculation of crystalline MgCd12Hg3 at its relaxed geometry, from the Alexandria database.

E_form = 0.003 eV/atom
E = -0.062 Ry/atom
space-group type = P4/mmm (123)
M_tot = 0.000 μB per cell

abc: 4.508 4.508 17.935
angles: 90.00 90.00 90.00
Atoms (fractional coordinates):
Cd1 0.000 0.500 0.121
Cd2 0.000 0.500 0.626
Cd3 0.500 0.000 0.121
Cd4 0.500 0.500 0.753
Cd5 0.500 0.500 0.500
Cd6 0.500 0.000 0.374
Cd7 0.500 0.500 0.247
Cd8 0.000 0.500 0.374
Cd9 0.000 0.500 0.879
Cd10 0.500 0.000 0.626
Cd11 0.500 0.000 0.879
Cd12 0.500 0.500 0.000
Hg1 0.000 0.000 0.248
Hg2 0.000 0.000 0.500
Hg3 0.000 0.000 0.752
Mg1 0.000 0.000 0.000

The following is a PBE calculation of crystalline Mn4TcSn at its relaxed geometry, from the Alexandria database.

E_form = 0.162 eV/atom
E = -0.613 Ry/atom
space-group type = F-43m (216)
M_tot = 1.345 μB per cell

abc: 4.778 4.778 4.778
angles: 60.00 60.00 60.00
Site moments in Bohr magnetons follow the coordinates.
Atoms (fractional coordinates):
Mn1 0.624 0.129 0.624  0.41
Mn2 0.624 0.624 0.129  0.41
Mn3 0.624 0.624 0.624  0.41
Mn4 0.129 0.624 0.624  0.41
Tc1 0.000 0.000 0.000  -0.29
Sn1 0.250 0.250 0.250  -0.02

The following is a PBE calculation of crystalline BaCa2AcCd4 at its relaxed geometry, from the Alexandria database.

E_form = -0.329 eV/atom
E = -0.150 Ry/atom
space-group type = R-3m (166)
M_tot = 0.000 μB per cell

abc: 5.674 5.674 9.857
angles: 73.27 73.27 60.00
Atoms (fractional coordinates):
Cd1 0.126 0.126 0.621
Cd2 0.377 0.377 0.868
Cd3 0.874 0.874 0.379
Cd4 0.623 0.623 0.132
Ba1 0.000 0.000 0.000
Ac1 0.500 0.500 0.500
Ca1 0.750 0.750 0.749
Ca2 0.250 0.250 0.251

The following is a PBE calculation of crystalline Ac2UN4 at its relaxed geometry, from the Alexandria database.

energy above the lowest structure with this stoichiometry = 0 meV/atom
E = -0.654 Ry/atom
formation energy (no corrections) = -31.1 kcal/mol of atoms
space-group type = Pbam (55)
M_tot = 0.000 μB per cell

abc: 3.676 6.306 10.592
angles: 90.00 90.00 90.00
Atoms (fractional coordinates):
U1 0.000 0.000 0.500
U2 0.000 0.500 0.000
N1 0.500 0.788 0.543
N2 0.000 0.366 0.180
N3 0.500 0.288 0.957
N4 0.000 0.134 0.680
N5 0.000 0.634 0.820
N6 0.500 0.212 0.457
N7 0.000 0.866 0.320
N8 0.500 0.712 0.043
Ac1 0.500 0.438 0.677
Ac2 0.500 0.562 0.323
Ac3 0.500 0.938 0.823
Ac4 0.500 0.062 0.177

The following is a PBE calculation of crystalline SrTh2NbN4 at its relaxed geometry, from the Alexandria database.

E = -0.631 Ry/atom
formation energy (no corrections) = -25.4 kcal/mol of atoms
space-group type = Cmcm (63)
M_tot = 0.000 μB per cell

abc: 3.576 6.518 12.632
angles: 90.00 90.00 105.92
Atoms (fractional coordinates):
Th1 0.631 0.263 0.458
Th2 0.369 0.737 0.542
Th3 0.631 0.263 0.042
Th4 0.369 0.737 0.958
N1 0.266 0.532 0.379
N2 0.266 0.532 0.121
N3 0.417 0.834 0.750
N4 0.000 0.000 0.500
N5 0.000 0.000 0.000
N6 0.734 0.468 0.621
N7 0.583 0.166 0.250
N8 0.734 0.468 0.879
Sr1 0.910 0.820 0.250
Sr2 0.090 0.180 0.750
Nb1 0.825 0.650 0.750
Nb2 0.175 0.350 0.250

The following is a PBE calculation of crystalline PmPa2Os at its relaxed geometry, from the Alexandria database.

E_form = 0.076 eV/atom
energy above the lowest structure with this stoichiometry = 66 meV/atom
E = -0.637 Ry/atom
space-group type = R-3m (166)
M_tot = 0.000 μB per cell

abc: 3.778 3.778 9.220
angles: 78.18 78.18 60.00
Atoms (fractional coordinates):
Pm1 0.500 0.500 0.500
Pa1 0.271 0.271 0.187
Pa2 0.729 0.729 0.813
Os1 0.000 0.000 0.000

The following is a PBE calculation of crystalline PaTiCo2Si2 at its relaxed geometry, from the Alexandria database.

E = -0.574 Ry/atom
formation energy (no corrections) = -16.9 kcal/mol of atoms
space-group type = P-3m1 (164)
M_tot = 0.001 μB per cell

abc: 3.985 3.985 6.670
angles: 90.00 90.00 120.00
Atoms (fractional coordinates):
Si1 0.333 0.667 0.274
Si2 0.667 0.333 0.726
Pa1 0.000 0.000 0.000
Co1 0.333 0.667 0.642
Co2 0.667 0.333 0.358
Ti1 0.000 0.000 0.500

The following is a PBE calculation of crystalline Se2S8I at its relaxed geometry, from the Alexandria database.

E = -0.264 Ry/atom
formation energy (no corrections) = 4.3 kcal/mol of atoms
space-group type = P1 (1)
M_tot = 0.000 μB per cell

abc: 6.681 9.546 9.190
angles: 134.76 114.91 83.34
Atoms (fractional coordinates):
S1 0.308 0.026 0.645
S2 0.181 0.530 0.087
S3 0.847 0.983 0.620
S4 0.209 0.309 0.574
S5 0.789 0.691 0.427
S6 0.148 0.017 0.380
S7 0.691 0.974 0.355
S8 0.813 0.467 0.912
Se1 0.263 0.693 0.441
Se2 0.734 0.307 0.559
I1 0.517 0.002 0.002

The following is a PBE calculation of crystalline Nb3Ru3Pt at its relaxed geometry, from the Alexandria database.

E_form = -0.097 eV/atom
E = -0.680 Ry/atom
space-group type = C2/m (12)
M_tot = 0.000 μB per cell

abc: 6.370 6.370 5.768
angles: 89.95 89.95 92.34
Atoms (fractional coordinates):
Nb1 0.781 0.219 0.500
Nb2 0.672 0.328 0.000
Nb3 0.328 0.672 0.000
Nb4 0.219 0.781 0.500
Nb5 0.683 0.683 0.500
Nb6 0.317 0.317 0.500
Ru1 0.000 0.500 0.753
Ru2 0.500 0.000 0.753
Ru3 0.000 0.500 0.247
Ru4 0.999 0.999 0.233
Ru5 0.500 0.000 0.247
Ru6 0.001 0.001 0.767
Pt1 0.739 0.739 0.999
Pt2 0.261 0.261 0.001

The following is a PBE calculation of crystalline GaFe6Cu at its relaxed geometry, from the Alexandria database.

E_form = 0.341 eV/atom
E = -0.507 Ry/atom
space-group type = C2/m (12)
M_tot = 14.503 μB per cell

abc: 4.363 4.363 6.422
angles: 76.55 76.55 67.79
Site moments in Bohr magnetons follow the coordinates.
Atoms (fractional coordinates):
Fe1 0.465 0.942 0.702  2.43
Fe2 0.942 0.465 0.702  2.43
Fe3 0.535 0.058 0.298  2.43
Fe4 0.366 0.366 0.928  2.46
Fe5 0.058 0.535 0.298  2.43
Fe6 0.634 0.634 0.072  2.46
Cu1 0.000 0.000 0.000  0.13
Ga1 0.500 0.500 0.500  -0.14

The following is a PBE calculation of crystalline Ac2SnRh at its relaxed geometry, from the Alexandria database.

E_form = 0.196 eV/atom
E = -0.345 Ry/atom
space-group type = R-3m (166)
M_tot = 0.000 μB per cell

abc: 4.750 4.750 9.383
angles: 75.34 75.34 60.00
Atoms (fractional coordinates):
Rh1 0.000 0.000 0.000
Sn1 0.500 0.500 0.500
Ac1 0.903 0.903 0.291
Ac2 0.097 0.097 0.709

The following is a PBE calculation of crystalline Tb2Al9Rh3 at its relaxed geometry, from the Alexandria database.

E_form = -0.837 eV/atom
E = -0.403 Ry/atom
space-group type = C2/c (15)
M_tot = 0.000 μB per cell

abc: 7.587 7.587 10.463
angles: 89.89 111.12 120.37
Atoms (fractional coordinates):
Rh1 0.500 0.000 0.000
Rh2 0.500 0.500 0.500
Rh3 0.827 0.657 0.999
Rh4 0.843 0.172 0.499
Rh5 0.173 0.343 0.001
Rh6 0.157 0.828 0.501
Al1 0.213 0.692 0.072
Al2 0.119 0.869 0.250
Al3 0.541 0.080 0.252
Al4 0.867 0.016 0.053
Al5 0.550 0.358 0.075
Al6 0.120 0.141 0.428
Al7 0.537 0.185 0.553
Al8 0.450 0.642 0.925
Al9 0.217 0.525 0.575
Al10 0.328 0.288 0.248
Al11 0.880 0.859 0.572
Al12 0.672 0.712 0.752
Al13 0.463 0.815 0.447
Al14 0.459 0.920 0.748
Al15 0.881 0.131 0.750
Al16 0.787 0.308 0.928
Al17 0.133 0.984 0.947
Al18 0.783 0.475 0.425
Tb1 0.663 0.752 0.250
Tb2 0.997 0.587 0.750
Tb3 0.003 0.413 0.250
Tb4 0.337 0.248 0.750

The following is a PBE calculation of crystalline CaSb2Br at its relaxed geometry, from the Alexandria database.

energy above the lowest structure with this stoichiometry = 0 meV/atom
E = -0.280 Ry/atom
formation energy (no corrections) = -19.3 kcal/mol of atoms
space-group type = Pm (6)
M_tot = 0.000 μB per cell

abc: 3.979 4.172 7.596
angles: 74.07 90.00 90.00
Atoms (fractional coordinates):
Sb1 0.000 0.791 0.045
Sb2 0.500 0.223 0.180
Br1 0.000 0.521 0.582
Ca1 0.500 0.965 0.693

The following is a PBE calculation of crystalline CaYCu2 at its relaxed geometry, from the Alexandria database.

E_form = -0.174 eV/atom
E = -0.319 Ry/atom
space-group type = Pm (6)
M_tot = 0.000 μB per cell

abc: 4.356 3.915 5.673
angles: 69.82 90.00 90.00
Atoms (fractional coordinates):
Cu1 0.500 0.054 0.265
Cu2 0.000 0.191 0.995
Y1 0.000 0.486 0.401
Ca1 0.500 0.768 0.839

The following is a PBE calculation of crystalline K2RbBa at its relaxed geometry, from the Alexandria database.

E_form = 0.083 eV/atom
energy above the lowest structure with this stoichiometry = 30 meV/atom
E = -0.087 Ry/atom
space-group type = P3m1 (156)
M_tot = 0.000 μB per cell

abc: 4.592 4.592 16.293
angles: 90.00 90.00 120.00
Atoms (fractional coordinates):
K1 0.667 0.333 0.260
K2 0.333 0.667 0.755
Rb1 0.000 0.000 0.007
Ba1 0.667 0.333 0.522

The following is a PBE calculation of crystalline LaZrMnFe2 at its relaxed geometry, from the Alexandria database.

E_form = 0.510 eV/atom
E = -0.544 Ry/atom
space-group type = P4/mmm (123)
M_tot = 4.232 μB per cell

abc: 4.611 4.623 4.611
angles: 90.00 90.00 90.00
Site moments in Bohr magnetons follow the coordinates.
Atoms (fractional coordinates):
Zr1 0.000 0.500 0.000  -0.11
Fe1 0.000 0.000 0.500  2.69
Fe2 0.500 0.000 0.000  2.12
Mn1 0.000 0.000 0.000  -0.03
La1 0.500 0.500 0.500  -0.17

The following is a PBE calculation of crystalline Cs2K4In at its relaxed geometry, from the Alexandria database.

E_form = 0.060 eV/atom
E = -0.088 Ry/atom
space-group type = I4/mmm (139)
M_tot = 0.000 μB per cell

abc: 6.984 6.984 12.509
angles: 73.79 73.79 90.00
Atoms (fractional coordinates):
K1 0.000 0.500 0.000
K2 0.154 0.154 0.691
K3 0.500 0.000 0.000
K4 0.846 0.846 0.309
Cs1 0.642 0.642 0.716
Cs2 0.358 0.358 0.284
In1 0.000 0.000 0.000